3
Lattice="-0.8627 -0.1258 -3.6143 -2.4591 -2.4985 -1.2384 -3.3577 1.1081 -1.1494" Properties=species:S:1:pos:R:3 comment="PuHN (PBE, relaxed)" spacegroup="F-43m, No. 216" energy_ev_per_atom=-9.55 total_magnetization_mub_per_cell=4.0 pbc="T T T"
N -3.3398 -0.7581 -3.0010
Pu -1.6699 -0.3791 -1.5005
H 0.0000 0.0000 0.0000

18
Lattice="5.3761 0.0000 0.0000 -2.6881 5.6940 -1.8757 0.0000 -0.0111 7.5566" Properties=species:S:1:pos:R:3 comment="Pu3H5N (PBE, relaxed)" spacegroup="C2/c, No. 15" energy_ev_per_atom=-8.11 total_magnetization_mub_per_cell=32.0 pbc="T T T"
H -1.3510 3.7814 1.9596
Pu 2.7630 1.8289 5.6651
H 4.0391 1.9014 3.7213
H 1.3637 -0.0084 5.6675
H -1.3394 3.7679 5.6273
H 4.0275 1.9149 0.0536
H 4.0124 -0.0028 1.8892
H 1.3370 1.9070 -0.0570
H 1.3511 3.7759 5.7379
H 1.3487 1.9093 3.8319
Pu 0.0749 3.8483 3.7941
H 1.3394 3.7735 1.8490
Pu 0.0000 0.0000 0.0000
Pu -0.0749 3.8539 0.0158
Pu 2.6132 1.8345 1.8868
N 4.0365 -0.0084 5.6675
Pu 0.0000 -0.0056 3.7783
N 1.3396 -0.0028 1.8892

14
Lattice="-2.8124 -5.8620 -0.6114 1.6079 -4.5862 4.3621 -4.5030 -1.6613 4.4283" Properties=species:S:1:pos:R:3 comment="Pu3HN3 (PBE, relaxed)" spacegroup="R-3, No. 148" energy_ev_per_atom=-11.25 total_magnetization_mub_per_cell=28.0 pbc="T T T"
Pu -3.8978 -5.4021 1.8006
N -4.7544 -7.1522 2.9536
H -3.8148 -8.0938 5.4666
H -1.8928 -4.0158 2.7123
N -2.0328 -6.7238 1.8567
N -0.9532 -4.9574 5.2254
Pu -1.8098 -6.7075 6.3784
Pu -5.3301 -6.0611 4.8787
N -4.5424 -4.2917 3.7062
N -1.1651 -7.8179 4.4727
Pu -0.3775 -6.0484 3.3002
Pu -2.8483 -3.6633 5.1073
N -3.6747 -5.3858 6.3223
Pu -2.8593 -8.4462 3.0716

18
Lattice="-3.5374 -0.9205 -5.2346 -4.1118 -4.6598 3.0920 -5.7720 2.4704 2.9602" Properties=species:S:1:pos:R:3 comment="Pu4H3N2 (PBE, relaxed)" spacegroup="C2/c, No. 15" energy_ev_per_atom=-9.74 total_magnetization_mub_per_cell=1.7 pbc="T T T"
Pu -8.1478 -0.6275 2.5762
H -8.7339 0.5526 0.5080
Pu -9.8507 0.3346 -1.6322
Pu -9.3769 -3.4053 0.0017
Pu -3.5705 -3.4445 2.4497
H -4.6873 -3.6625 0.3096
N -8.3127 -2.6602 1.9875
Pu -6.9081 -4.2469 1.0784
N -10.4177 -1.6764 -0.6565
H -7.2936 -3.0791 -0.8759
Pu -6.5131 1.1370 -0.2608
H -5.8273 -3.8742 3.2157
H -6.1276 -0.0308 1.6935
N -5.1085 -0.4497 -1.1700
Pu -5.2734 -2.4824 -1.7586
H -7.5939 0.7643 -2.3981
N -3.0035 -1.4335 1.4741
Pu -4.0443 0.2954 0.8158